[1]
{"formula": "MgInBr", "functional": "GGA-PBEsol", "state": "optimized geometry", "sg": "F-43m (216)", "raw_formation_energy_mev_per_atom": -66, "total_energy_ev_per_atom": -2.2559, "cell": [[-1.205, -4.983, 0.936], [2.287, -3.794, -2.744], [3.477, -3.137, 2.287]], "species": ["Br", "Mg", "In"], "fractional_positions": [[0.500, 0.500, 0.500], [0.000, 0.000, 0.000], [0.750, 0.750, 0.750]]}

***

[2]
{"formula": "MgInBr2", "functional": "GGA-PBEsol", "state": "optimized geometry", "polymorph_energy_mev_per_atom": 251, "sg": "R-3m (166)", "raw_formation_energy_mev_per_atom": -465, "total_energy_ev_per_atom": -2.5755, "cell": [[3.997, 0.000, 0.000], [1.998, 3.461, 0.000], [1.998, 1.154, 9.476]], "species": ["Br", "Br", "In", "Mg"], "fractional_positions": [[0.911, 0.911, 0.267], [0.089, 0.089, 0.733], [0.500, 0.500, 0.500], [0.000, 0.000, 0.000]]}

***

[3]
{"formula": "MgInBr3", "functional": "GGA-PBEsol", "state": "optimized geometry", "sg": "Pnma (62)", "raw_formation_energy_mev_per_atom": -1129, "total_energy_ev_per_atom": -3.1915, "cell": [[3.913, 0.000, 0.000], [0.000, 9.399, 0.000], [0.000, 0.000, 15.094]], "species": ["Mg", "Mg", "Mg", "Mg", "Br", "Br", "Br", "Br", "Br", "Br", "Br", "Br", "Br", "Br", "Br", "Br", "In", "In", "In", "In"], "fractional_positions": [[0.750, 0.838, 0.555], [0.250, 0.162, 0.445], [0.250, 0.662, 0.055], [0.750, 0.338, 0.945], [0.250, 0.171, 0.004], [0.750, 0.726, 0.712], [0.750, 0.329, 0.504], [0.250, 0.523, 0.898], [0.250, 0.774, 0.212], [0.750, 0.829, 0.996], [0.750, 0.226, 0.788], [0.250, 0.671, 0.496], [0.250, 0.274, 0.288], [0.750, 0.477, 0.102], [0.750, 0.977, 0.398], [0.250, 0.023, 0.602], [0.250, 0.470, 0.676], [0.750, 0.530, 0.324], [0.750, 0.030, 0.176], [0.250, 0.970, 0.824]]}

***

[4]
{"formula": "Mg2InBr", "functional": "GGA-PBEsol", "state": "optimized geometry", "polymorph_energy_mev_per_atom": 104, "sg": "Immm (71)", "raw_formation_energy_mev_per_atom": -252, "total_energy_ev_per_atom": -2.3233, "cell": [[3.339, 0.000, 0.000], [0.000, 5.933, 0.000], [-1.670, -2.967, 4.976]], "species": ["Br", "In", "Mg", "Mg"], "fractional_positions": [[0.500, 0.000, 0.000], [0.000, 0.500, 0.000], [0.237, 0.237, 0.473], [0.763, 0.763, 0.527]]}

***

[5]
{"formula": "MgInSe2Br", "functional": "GGA-PBEsol", "state": "optimized geometry", "sg": "P4/mmm (123)", "raw_formation_energy_mev_per_atom": -114, "total_energy_ev_per_atom": -2.9682, "cell": [[-2.739, -4.326, 1.029], [2.241, -2.387, -4.069], [3.873, -1.706, 3.134]], "species": ["Br", "Mg", "In", "Se", "Se"], "fractional_positions": [[0.000, 0.000, 0.500], [0.500, 0.500, 0.500], [0.000, 0.000, 0.000], [0.500, 0.000, 0.000], [0.000, 0.500, 0.000]]}

***

[6]
{"formula": "Mn2InBr", "functional": "GGA-PBEsol", "state": "optimized geometry", "polymorph_energy_mev_per_atom": 223, "sg": "Immm (71)", "raw_formation_energy_mev_per_atom": 496, "total_energy_ev_per_atom": -5.5976, "cell": [[-1.601, -2.392, -1.266], [3.300, -2.394, -3.552], [2.559, -4.541, 1.439]], "species": ["Mn", "Mn", "In", "Br"], "fractional_positions": [[0.759, 0.241, 0.241], [0.241, 0.759, 0.759], [0.000, 0.500, 0.500], [0.500, 0.000, 0.000]]}

***

[7]
{"formula": "Mn2InBr", "functional": "GGA-PBEsol", "state": "optimized geometry", "polymorph_energy_mev_per_atom": 266, "sg": "P4/mmm (123)", "raw_formation_energy_mev_per_atom": 539, "total_energy_ev_per_atom": -5.5545, "cell": [[3.077, 0.000, 0.000], [0.000, 4.877, 0.000], [0.000, 0.000, 4.877]], "species": ["In", "Mn", "Mn", "Br"], "fractional_positions": [[0.500, 0.000, 0.000], [0.000, 0.500, 0.000], [0.000, 0.000, 0.500], [0.500, 0.500, 0.500]]}

***

[8]
{"formula": "Mn2InBr", "functional": "GGA-PBEsol", "state": "optimized geometry", "polymorph_energy_mev_per_atom": 28, "sg": "Pmmm (47)", "raw_formation_energy_mev_per_atom": 300, "total_energy_ev_per_atom": -5.7934, "cell": [[3.177, 0.000, 0.000], [0.000, 3.743, 0.000], [0.000, 0.000, 6.717]], "species": ["Mn", "Mn", "In", "Br"], "fractional_positions": [[0.000, 0.000, 0.692], [0.000, 0.000, 0.308], [0.500, 0.500, 0.500], [0.500, 0.000, 0.000]]}

***

[9]
{"formula": "Mn3InBr", "functional": "GGA-PBEsol", "state": "optimized geometry", "sg": "Pm-3m (221)", "raw_formation_energy_mev_per_atom": 1199, "total_energy_ev_per_atom": -5.6277, "cell": [[-4.211, 0.087, 2.990], [-0.747, -5.030, -0.906], [2.896, -1.172, 4.114]], "species": ["Mn", "Mn", "Mn", "Br", "In"], "fractional_positions": [[0.000, 0.000, 0.500], [0.500, 0.000, 0.000], [0.000, 0.500, 0.000], [0.500, 0.500, 0.500], [0.000, 0.000, 0.000]]}

***

[10]
{"formula": "MnInBr3", "functional": "GGA-PBEsol", "state": "optimized geometry", "sg": "Pm-3m (221)", "raw_formation_energy_mev_per_atom": -569, "total_energy_ev_per_atom": -4.2394, "cell": [[5.202, 0.000, 0.000], [0.000, 5.202, 0.000], [0.000, 0.000, 5.202]], "species": ["Br", "Br", "Br", "Mn", "In"], "fractional_positions": [[0.500, 0.000, 0.000], [0.000, 0.500, 0.000], [0.000, 0.000, 0.500], [0.000, 0.000, 0.000], [0.500, 0.500, 0.500]]}

***

[11]
{"formula": "Mn2InBr", "functional": "GGA-PBEsol", "state": "optimized geometry", "polymorph_energy_mev_per_atom": 0, "sg": "P4mm (99)", "raw_formation_energy_mev_per_atom": 273, "total_energy_ev_per_atom": -5.8209, "cell": [[3.262, 0.000, 0.000], [0.000, 3.262, 0.000], [0.000, 0.000, 7.381]], "species": ["Mn", "Mn", "Br", "In"], "fractional_positions": [[0.000, 0.000, 0.031], [0.500, 0.500, 0.227], [0.000, 0.000, 0.409], [0.500, 0.500, 0.832]]}

***

[12]
{"formula": "MnInBr3", "functional": "GGA-PBEsol", "state": "optimized geometry", "sg": "Pnma (62)", "raw_formation_energy_mev_per_atom": -647, "total_energy_ev_per_atom": -4.3181, "cell": [[-0.241, -3.604, -1.438], [9.296, -0.675, 0.131], [-0.594, -5.482, 13.833]], "species": ["Br", "Br", "Br", "Br", "Br", "Br", "Br", "Br", "Br", "Br", "Br", "Br", "Mn", "Mn", "Mn", "Mn", "In", "In", "In", "In"], "fractional_positions": [[0.750, 0.828, 0.995], [0.750, 0.724, 0.712], [0.750, 0.477, 0.103], [0.250, 0.672, 0.495], [0.250, 0.172, 0.005], [0.750, 0.977, 0.397], [0.250, 0.523, 0.897], [0.750, 0.224, 0.788], [0.250, 0.023, 0.603], [0.750, 0.328, 0.505], [0.250, 0.776, 0.212], [0.250, 0.276, 0.288], [0.750, 0.338, 0.944], [0.250, 0.662, 0.056], [0.250, 0.162, 0.444], [0.750, 0.838, 0.556], [0.250, 0.959, 0.824], [0.750, 0.041, 0.176], [0.750, 0.541, 0.324], [0.250, 0.459, 0.676]]}

***

[13]
{"formula": "InMoBr2", "functional": "GGA-PBEsol", "state": "optimized geometry", "polymorph_energy_mev_per_atom": 411, "sg": "P2/m (10)", "raw_formation_energy_mev_per_atom": 342, "total_energy_ev_per_atom": -4.2810, "cell": [[3.477, 0.000, -0.006], [0.000, 4.259, 0.000], [-1.303, 0.000, 6.287]], "species": ["Br", "Br", "Mo", "In"], "fractional_positions": [[0.883, 0.000, 0.720], [0.117, 0.000, 0.280], [0.000, 0.500, 0.500], [0.500, 0.500, 0.000]]}

***

[14]
{"formula": "InMoBr2", "functional": "GGA-PBEsol", "state": "optimized geometry", "polymorph_energy_mev_per_atom": 253, "sg": "Cmmm (65)", "raw_formation_energy_mev_per_atom": 184, "total_energy_ev_per_atom": -4.4387, "cell": [[3.147, 0.000, 0.000], [-1.573, 2.978, 0.000], [0.000, 0.000, 9.893]], "species": ["In", "Br", "Br", "Mo"], "fractional_positions": [[0.500, 0.000, 0.500], [0.000, 0.000, 0.204], [0.000, 0.000, 0.796], [0.500, 0.000, 0.000]]}

***

[15]
{"formula": "InMoBr2", "functional": "GGA-PBEsol", "state": "optimized geometry", "polymorph_energy_mev_per_atom": 658, "sg": "P4/mmm (123)", "raw_formation_energy_mev_per_atom": 589, "total_energy_ev_per_atom": -4.0336, "cell": [[3.694, 0.000, 0.000], [0.000, 5.216, 0.000], [0.000, 0.000, 5.216]], "species": ["Br", "Br", "In", "Mo"], "fractional_positions": [[0.000, 0.500, 0.000], [0.000, 0.000, 0.500], [0.500, 0.500, 0.500], [0.500, 0.000, 0.000]]}

***

[16]
{"formula": "InMoBr2", "functional": "GGA-PBEsol", "state": "optimized geometry", "polymorph_energy_mev_per_atom": 801, "sg": "F-43m (216)", "raw_formation_energy_mev_per_atom": 732, "total_energy_ev_per_atom": -3.8906, "cell": [[5.154, 0.000, 0.000], [2.577, 4.464, 0.000], [2.577, 1.488, 4.208]], "species": ["In", "Br", "Br", "Mo"], "fractional_positions": [[0.500, 0.500, 0.500], [0.750, 0.750, 0.750], [0.000, 0.000, 0.000], [0.250, 0.250, 0.250]]}

***

[17]
{"formula": "InMoBr2", "functional": "GGA-PBEsol", "state": "optimized geometry", "polymorph_energy_mev_per_atom": 333, "sg": "Imm2 (44)", "raw_formation_energy_mev_per_atom": 264, "total_energy_ev_per_atom": -4.3587, "cell": [[3.096, 0.000, 0.000], [0.000, 4.643, 0.000], [-1.548, -2.322, 6.493]], "species": ["Br", "Br", "Mo", "In"], "fractional_positions": [[0.739, 0.239, 0.478], [0.921, 0.921, 0.842], [0.265, 0.765, 0.530], [0.575, 0.575, 0.149]]}

***

[18]
{"formula": "In2MoBr", "functional": "GGA-PBEsol", "state": "optimized geometry", "sg": "Cm (8)", "raw_formation_energy_mev_per_atom": 210, "total_energy_ev_per_atom": -4.6905, "cell": [[-2.222, -1.472, -1.519], [-1.981, -1.698, 4.543], [-1.223, 5.514, -0.458]], "species": ["In", "In", "Br", "Mo"], "fractional_positions": [[0.988, 0.966, 0.976], [0.787, 0.329, 0.575], [0.200, 0.752, 0.399], [0.525, 0.453, 0.050]]}

***

[19]
{"formula": "In4MoBr", "functional": "GGA-PBEsol", "state": "optimized geometry", "sg": "F-43m (216)", "raw_formation_energy_mev_per_atom": 614, "total_energy_ev_per_atom": -3.6473, "cell": [[5.832, 0.000, 0.000], [2.916, 5.051, 0.000], [2.916, 1.684, 4.762]], "species": ["In", "In", "In", "In", "Mo", "Br"], "fractional_positions": [[0.375, 0.375, 0.874], [0.874, 0.375, 0.375], [0.375, 0.375, 0.375], [0.375, 0.874, 0.375], [0.750, 0.750, 0.750], [0.000, 0.000, 0.000]]}

***

[20]
{"formula": "InMoBr2", "functional": "GGA-PBEsol", "state": "optimized geometry", "polymorph_energy_mev_per_atom": 0, "sg": "Pm (6)", "raw_formation_energy_mev_per_atom": -69, "total_energy_ev_per_atom": -4.6920, "cell": [[-0.736, -0.009, 3.278], [-4.199, -0.227, -0.943], [2.487, -6.973, 0.539]], "species": ["Br", "Br", "Mo", "In"], "fractional_positions": [[0.500, 0.844, 0.309], [0.000, 0.155, 0.936], [0.500, 0.019, 0.665], [0.000, 0.482, 0.591]]}